No. 1
Material: Tm2PaMoC4
Method: DFT, PBE
State: optimized geometry

a = 3.438 Å, b = 11.808 Å, c = 12.088 Å
α = 90.00°, β = 90.00°, γ = 90.00°
Space group Cmcm (No. 63)
Symmetry-distinct sites (fractional):
Tm 0.000 0.130 0.038
Pa 0.000 0.395 0.250
Mo 0.000 0.342 0.750
C 0.000 0.052 0.250
C 0.000 0.231 0.632
C 0.000 0.500 0.000

Calculated total energy (eV per atom): -8.37
Energy relative to the elements (meV/atom): -95
Magnetization (μB per formula unit): 0.000

---

No. 2
Material: HfBeP2Cl
Method: DFT, PBE
State: optimized geometry

a = 5.030 Å, b = 5.030 Å, c = 4.853 Å
α = 90.00°, β = 90.00°, γ = 90.00°
Space group P4/mmm (No. 123)
Symmetry-distinct sites (fractional):
Hf 0.000 0.000 0.000
Be 0.500 0.500 0.500
P 0.000 0.500 0.000
Cl 0.000 0.000 0.500

Calculated total energy (eV per atom): -4.87
Distance to the lowest polymorph of the same formula (meV/atom): 255
Magnetization (μB per formula unit): 0.000
Formation energy (no corrections) (meV/atom): 398

---

No. 3
Material: HoZn2Co2P
Method: DFT, PBE
State: optimized geometry

a = 4.189 Å, b = 4.189 Å, c = 5.469 Å
α = 90.00°, β = 90.00°, γ = 90.00°
Space group P4/mmm (No. 123)
Symmetry-distinct sites (fractional):
Ho 0.000 0.000 0.000
Zn 0.500 0.500 0.228
Co 0.000 0.500 0.500
P 0.000 0.000 0.500

Calculated total energy (eV per atom): -4.84
Energy relative to the elements (meV/atom): -383
Magnetization (μB per formula unit): 1.565

---

Copy entry 1 word for word.
Material: Tm2PaMoC4
Method: DFT, PBE
State: optimized geometry

a = 3.438 Å, b = 11.808 Å, c = 12.088 Å
α = 90.00°, β = 90.00°, γ = 90.00°
Space group Cmcm (No. 63)
Symmetry-distinct sites (fractional):
Tm 0.000 0.130 0.038
Pa 0.000 0.395 0.250
Mo 0.000 0.342 0.750
C 0.000 0.052 0.250
C 0.000 0.231 0.632
C 0.000 0.500 0.000

Calculated total energy (eV per atom): -8.37
Energy relative to the elements (meV/atom): -95
Magnetization (μB per formula unit): 0.000

---

Number 1 is which compound? Tm2PaMoC4